(1)
VASP calculation (PBE-GGA) on an optimized crystal structure of La6Ir2RhN.

For the density of states at the Fermi level, the calculation gives 6.19 states/eV/f.u. The value obtained for the formation energy (no corrections) is -710 meV per atom. The crystal system is triclinic.

The space group is P1 (No. 1) and the conventional cell measures 7.076, 7.081 and 7.684 Å, with angles of 62.61, 62.63 and 60.04 degrees. Symmetry generates all atoms from La at (0.000, 0.000, 0.000), La at (0.125, 0.531, 0.482), La at (0.315, 0.286, 0.000), La at (0.461, 0.811, 0.482), La at (0.601, 0.685, 0.999), La at (0.845, 0.147, 0.482), Ir at (0.406, 0.092, 0.694), Ir at (0.896, 0.582, 0.227), Rh at (0.719, 0.404, 0.759) and N at (0.213, 0.900, 0.275).

---

(2)
VASP calculation (PBE-GGA) on an optimized crystal structure of La2IrRhN.

For the density of states at the Fermi level, the calculation gives 4.81 states/eV/f.u. The value obtained for the formation energy (no corrections) is -760 meV per atom. The crystal system is tetragonal.

The space group is P4/mmm (No. 123) and the conventional cell measures 5.230, 5.230 and 3.812 Å, with angles of 90.00, 90.00 and 90.00 degrees. Symmetry generates all atoms from La at (0.000, 0.500, 0.000), Ir at (0.000, 0.000, 0.500), Rh at (0.500, 0.500, 0.500) and N at (0.000, 0.000, 0.000).